Record 1
Compound: Nd2TmAg3
Source: Alexandria via LeMat-Bulk
Functional: PBE-GGA
Structure: relaxed

Lattice parameters (Å, degrees): 3.6656 3.6656 11.2875 90.00 90.00 90.00
Element x y z (fractional)
Nd 0.5000 0.5000 0.1724
Nd 0.5000 0.5000 0.8276
Ag 0.0000 0.0000 0.0000
Ag 0.0000 0.0000 0.3506
Ag 0.0000 0.0000 0.6494
Tm 0.5000 0.5000 0.5000

space group = P4/mmm, No. 123
DFT total energy = -24.3 eV for the cell shown
calculated formation energy = -286 meV per atom

Record 2
Compound: ThSnPd
Source: Alexandria via LeMat-Bulk
Functional: PBE-GGA
Structure: relaxed

Lattice parameters (Å, degrees): 3.7425 4.7231 4.7231 120.00 90.00 90.00
Element x y z (fractional)
Pd 0.4999 0.6667 0.3333
Sn 0.5001 0.3333 0.6667
Th 0.0000 0.0000 0.0000

space group = P-6m2, No. 187
DFT total energy = -19.0 eV for the cell shown
calculated formation energy = -797 meV per atom

Record 3
Compound: Li7VAs4
Source: Alexandria via LeMat-Bulk
Functional: PBE-GGA
Structure: relaxed

Lattice parameters (Å, degrees): 7.3357 7.3357 11.9975 65.83 65.83 48.75
Element x y z (fractional)
Li 0.2515 0.7510 0.4918
Li 0.9874 0.5317 0.1218
Li 0.2490 0.7485 0.0082
Li 0.4683 0.0126 0.3782
Li 0.0234 0.4769 0.6233
Li 0.2394 0.7606 0.2500
Li 0.7606 0.2394 0.7500
Li 0.0126 0.4683 0.8782
Li 0.5317 0.9874 0.6218
Li 0.4769 0.0234 0.1233
Li 0.5231 0.9766 0.8767
Li 0.7510 0.2515 0.9918
Li 0.9766 0.5231 0.3767
Li 0.7485 0.2490 0.5082
As 0.9202 0.8450 0.6936
As 0.8450 0.9202 0.1936
As 0.0798 0.1550 0.3064
As 0.6000 0.6338 0.5762
As 0.1550 0.0798 0.8064
As 0.6338 0.6000 0.0762
As 0.3662 0.4000 0.9238
As 0.4000 0.3662 0.4238
V 0.7398 0.2602 0.2500
V 0.2602 0.7398 0.7500

space group = C2/c, No. 15
DFT total energy = -97.8 eV for the cell shown
calculated formation energy = -650 meV per atom

Record 4
Compound: Sm2BeInPd6
Source: Alexandria via LeMat-Bulk
Functional: PBE-GGA
Structure: relaxed

Lattice parameters (Å, degrees): 5.8807 7.6153 5.9093 66.72 59.96 91.00
Element x y z (fractional)
Pd 0.2522 0.3243 0.9515
Pd 0.2338 0.6938 0.0340
Pd 0.7475 0.6712 0.5254
Pd 0.2525 0.3288 0.4746
Pd 0.7662 0.3062 0.9660
Pd 0.7478 0.6757 0.0485
In 0.0000 0.0000 0.0000
Sm 0.7393 0.2581 0.5029
Sm 0.2607 0.7419 0.4971
Be 0.5000 0.5000 0.0000

space group = P-1, No. 2
DFT total energy = -53.1 eV for the cell shown
calculated formation energy = -606 meV per atom

Record 5
Compound: Dy6Ho2In
Source: Alexandria via LeMat-Bulk
Functional: PBE-GGA
Structure: relaxed

Lattice parameters (Å, degrees): 3.4672 10.1209 9.5521 121.99 100.43 90.00
Element x y z (fractional)
Dy 0.8225 0.9862 0.6466
Dy 0.8225 0.6604 0.6466
Dy 0.5000 0.6947 0.0000
Dy 0.1775 0.0138 0.3534
Dy 0.5000 0.3053 0.0000
Dy 0.1775 0.3396 0.3534
Ho 0.8463 0.3453 0.6905
Ho 0.1537 0.6547 0.3095
In 0.0000 0.0000 0.0000

space group = Immm, No. 71
DFT total energy = -39.6 eV for the cell shown
calculated formation energy = -12 meV per atom

Record 6
Compound: RbNaCe4S8
Source: Alexandria via LeMat-Bulk
Functional: PBE-GGA
Structure: relaxed

Lattice parameters (Å, degrees): 8.4682 8.4682 8.4553 59.95 59.95 60.00
Each line ends with the local moment (μB).
Element x y z (fractional)
S 0.7565 0.7565 0.7305  -0.02
S 0.2404 0.2404 0.7060  -0.02
S 0.2309 0.2309 0.3073  -0.02
S 0.7506 0.2241 0.2746  -0.02
S 0.8132 0.2404 0.7060  -0.02
S 0.7506 0.7506 0.2746  -0.02
S 0.2241 0.7506 0.2746  -0.02
S 0.2404 0.8132 0.7060  -0.02
Ce 0.0027 0.0027 0.5036  0.45
Ce 0.6178 0.6178 0.1466  0.87
Ce 0.0027 0.4910 0.5036  0.45
Ce 0.4910 0.0027 0.5036  0.45
Na 0.0018 0.0018 0.9946  0.00
Rb 0.3772 0.3772 0.8685  0.00

raw formation energy = -1654 meV/atom
space group = R3m, No. 160
DFT total energy = -82.2 eV for the cell shown